SrVB2 | PBE | relaxed

## Properties
VASP energy in eV/atom: -5.3563
ΔE to the lowest computed polymorph in meV per atom: 0

Geometry as extended XYZ:
```
8
Lattice="-2.414 2.414 6.632 2.414 -2.414 6.632 2.414 2.414 -6.632" Properties=species:S:1:pos:R:3 pbc="T T T"
Sr 0.000 0.000 0.000
Sr 0.000 2.414 3.316
V 2.414 0.000 3.316
V 0.000 0.000 6.632
B 1.207 -0.175 4.974
B 2.239 1.207 1.658
B 1.207 2.590 -1.658
B 0.175 1.207 8.289
```

=====

La7NdCo3 | PBE | relaxed

## Properties
VASP energy in eV/atom: -5.5706

Geometry as extended XYZ:
```
11
Lattice="7.870 0.000 0.000 -3.935 6.815 0.000 0.000 0.000 6.520" Properties=species:S:1:pos:R:3 pbc="T T T"
La 0.000 0.000 0.000
La -1.950 3.418 6.510
La 1.962 1.133 3.124
La 1.950 3.418 6.510
La 0.000 6.795 6.510
La 5.908 1.133 3.124
La 3.935 4.550 3.124
Nd 0.000 4.544 3.133
Co 0.000 2.264 1.543
Co -1.975 5.684 1.543
Co 1.975 5.684 1.543
```

=====

ThMgFeNi | PBE | relaxed

## Properties
VASP energy in eV/atom: -5.8054

Geometry as extended XYZ:
```
4
Lattice="0.000 3.285 3.285 3.285 0.000 3.285 3.285 3.285 0.000" Properties=species:S:1:pos:R:3 pbc="T T T"
Th 0.000 0.000 0.000
Mg 3.285 3.285 3.285
Fe 1.642 1.642 1.642
Ni 4.927 4.927 4.927
```

=====

Dy5Y12Th2 | PBE | relaxed

## Properties
VASP energy in eV/atom: -5.9700
ΔE to the lowest computed polymorph in meV per atom: 0

Geometry as extended XYZ:
```
19
Lattice="8.412 0.000 0.000 -4.174 7.699 0.000 -1.975 -2.005 9.630" Properties=species:S:1:pos:R:3 pbc="T T T"
Dy 0.000 0.000 0.000
Dy -2.901 4.813 1.247
Dy -2.401 1.477 8.952
Dy -2.492 5.106 5.125
Dy 5.487 1.421 5.065
Y -0.502 -0.516 3.356
Y -0.856 -0.814 6.747
Y -0.314 3.043 2.984
Y -2.748 5.078 8.822
Y 2.976 -0.302 2.669
Y -0.144 3.440 7.198
Y 1.132 0.895 9.149
Y 1.619 5.607 1.190
Y 3.910 -0.684 7.520
Y 3.200 3.328 3.315
Y 5.595 1.374 1.412
Y 3.350 3.276 7.221
Th 1.763 1.040 5.477
Th 1.008 5.530 4.748
```

=====

BiSO2 | PBE | relaxed

## Properties
ΔE_f (raw) in eV per formula unit: -2.67
VASP energy in eV/atom: -5.1494
ΔE to the lowest computed polymorph in meV per atom: 348

Geometry as extended XYZ:
```
4
Lattice="3.527 0.000 0.000 -0.213 4.733 0.000 -0.237 -0.694 4.683" Properties=species:S:1:pos:R:3 pbc="T T T"
Bi 0.000 0.000 0.000
S 2.726 1.765 2.049
O -0.169 3.173 1.801
O -0.164 1.312 3.403
```

=====

MgBiH | PBE | relaxed

## Properties
VASP energy in eV/atom: -3.0110
ΔE to the lowest computed polymorph in meV per atom: 0

Geometry as extended XYZ:
```
3
Lattice="3.361 0.000 0.000 -1.680 2.911 0.000 0.000 0.000 5.754" Properties=species:S:1:pos:R:3 pbc="T T T"
Mg 0.000 0.000 0.000
Bi 0.000 1.940 3.073
H 1.680 0.970 0.298
```

=====

Q: Among the records above, which one has the highest VASP energy?
A: MgBiH

=====

Please write out number 4 again, unchanged.
Dy5Y12Th2 | PBE | relaxed

## Properties
VASP energy in eV/atom: -5.9700
ΔE to the lowest computed polymorph in meV per atom: 0

Geometry as extended XYZ:
```
19
Lattice="8.412 0.000 0.000 -4.174 7.699 0.000 -1.975 -2.005 9.630" Properties=species:S:1:pos:R:3 pbc="T T T"
Dy 0.000 0.000 0.000
Dy -2.901 4.813 1.247
Dy -2.401 1.477 8.952
Dy -2.492 5.106 5.125
Dy 5.487 1.421 5.065
Y -0.502 -0.516 3.356
Y -0.856 -0.814 6.747
Y -0.314 3.043 2.984
Y -2.748 5.078 8.822
Y 2.976 -0.302 2.669
Y -0.144 3.440 7.198
Y 1.132 0.895 9.149
Y 1.619 5.607 1.190
Y 3.910 -0.684 7.520
Y 3.200 3.328 3.315
Y 5.595 1.374 1.412
Y 3.350 3.276 7.221
Th 1.763 1.040 5.477
Th 1.008 5.530 4.748
```

=====

Q: Among the records above, which one has the lowest VASP energy?
A: Dy5Y12Th2